(1)
Entry from Alexandria: a relaxed Ni7As crystal (PBE).

Lattice parameters (Å, degrees): 5.021 5.021 5.021 60.00 60.00 60.00
Element x y z (fractional)
Ni  0.500  0.500  0.000
Ni  0.500  0.000  0.500
Ni  0.000  0.500  0.500
Ni  0.500  0.000  0.000
Ni  0.000  0.500  0.000
Ni  0.000  0.000  0.500
Ni  0.500  0.500  0.500
As  0.000  0.000  0.000

Results
Its space group is Fm-3m (225).

***

(2)
Entry from Alexandria: a relaxed Nd9Sm2Sc crystal (PBE).

Lattice parameters (Å, degrees): 5.145 5.145 15.429 90.00 90.00 90.00
Element x y z (fractional)
Nd  0.500  0.500  0.000
Nd  0.500  0.500  0.331
Nd  0.500  0.500  0.669
Nd  0.500  0.000  0.161
Nd  0.500  0.000  0.500
Nd  0.500  0.000  0.839
Nd  0.000  0.500  0.161
Nd  0.000  0.500  0.500
Nd  0.000  0.500  0.839
Sm  0.000  0.000  0.330
Sm  0.000  0.000  0.670
Sc  0.000  0.000  0.000

Results
Its space group is P4/mmm (123).

***

Ordered E_form results: -57; 29; unit kJ/mol of formula units.
Ordered magnetic moment results: 0.249; 0.000; unit μB/atom.
Ordered total energy results: -5.713; -4.865; unit eV per atom.